Entry 1:
! Cs2Sn2Bi PBE-GGA optimized geometry; values from VASP
! final energy: -2.86 eV per atom
! magnetic moment: 0.000 μB per atom
! energy of formation from the pure elements: -139.4 meV/atom
! SG: C2/m (12)
! crystal system: monoclinic
! energy relative to the lowest polymorph listed for this composition: 60.7 meV per atom
! Fermi-level density of states: 0.59 states/eV per atom
&SYSTEM
  ibrav = 0, nat = 10, ntyp = 3
/
ATOMIC_SPECIES
Cs 132.91 Cs.upf
Sn 118.71 Sn.upf
Bi 208.98 Bi.upf
ATOMIC_POSITIONS crystal
Cs 0.0742 0.3819 0.2760
Cs 0.3819 0.0742 0.2760
Cs 0.6181 0.9258 0.7240
Cs 0.9258 0.6181 0.7240
Sn 0.1973 0.1973 0.9006
Sn 0.3549 0.3549 0.6867
Sn 0.6451 0.6451 0.3133
Sn 0.8027 0.8027 0.0994
Bi 0.3651 0.6349 0.0000
Bi 0.6349 0.3651 0.0000
CELL_PARAMETERS angstrom
4.4260 -7.0078 0.0000
4.4260 7.0078 0.0000
-3.7302 0.0000 8.4732

***

Entry 2:
! AgPt3 PBE-GGA optimized geometry; values from VASP
! final energy: -5.19 eV per atom
! magnetic moment: 0.000 μB per atom
! energy of formation from the pure elements: 50.1 meV/atom
! SG: Fmmm (69)
! crystal system: orthorhombic
! Fermi-level density of states: 1.54 states/eV per atom
&SYSTEM
  ibrav = 0, nat = 16, ntyp = 2
/
ATOMIC_SPECIES
Ag 107.87 Ag.upf
Pt 195.08 Pt.upf
ATOMIC_POSITIONS crystal
Ag 0.0000 0.0000 0.0000
Ag 0.0000 0.5000 0.5000
Ag 0.5000 0.0000 0.5000
Ag 0.5000 0.5000 0.0000
Pt 0.0000 0.0000 0.5000
Pt 0.0000 0.5000 0.0000
Pt 0.2500 0.2500 0.2500
Pt 0.2500 0.2500 0.7500
Pt 0.2500 0.7500 0.2500
Pt 0.2500 0.7500 0.7500
Pt 0.5000 0.0000 0.0000
Pt 0.5000 0.5000 0.5000
Pt 0.7500 0.2500 0.2500
Pt 0.7500 0.2500 0.7500
Pt 0.7500 0.7500 0.2500
Pt 0.7500 0.7500 0.7500
CELL_PARAMETERS angstrom
5.6432 0.0000 0.0000
0.0000 5.6542 0.0000
0.0000 0.0000 8.0512